Record 1
Computed, not measured: a relaxed Ca2TlHg crystal at the GGA-PBE level of DFT.

Unit cell a=3.832 b=3.832 c=7.726 alpha=90.00 beta=90.00 gamma=90.00
Space group P4/mmm (No. 123)
Unique sites:
Ca 0.000 0.000 0.241 [2 per cell]
Tl 0.500 0.500 0.500 [1 per cell]
Hg 0.500 0.500 0.000 [1 per cell]

Summary:
Energy of formation from the pure elements = -508 meV per atom
Fermi-level density of states = 0.419 states/eV per atom

Record 2
Computed, not measured: a relaxed KSiMo2 crystal at the GGA-PBE level of DFT.

Unit cell a=4.651 b=4.651 c=6.601 alpha=90.00 beta=90.00 gamma=90.00
Space group I-4m2 (No. 119)
Unique sites:
K 0.000 0.000 0.000 [2 per cell]
Si 0.000 0.500 0.250 [2 per cell]
Mo 0.000 0.000 0.500 [2 per cell]
Mo 0.000 0.500 0.750 [2 per cell]

Summary:
Formation energy from raw total energies = 1.1168 eV/atom
Fermi-level density of states = 0.723 states/eV per atom